LiRhSe | SCAN | PBEsol geometry

Computed properties:
Total DFT energy (no corrections) ... -19.161 eV per atom
Symmetry ... F-43m (216)

```
LiRhSe
1.0
0.000 2.874 2.874
2.874 0.000 2.874
2.874 2.874 0.000
Li Rh Se
1 1 1
direct
0.000 0.000 0.000
0.750 0.750 0.750
0.500 0.500 0.500
```

CsSr2LaRu | SCAN | PBEsol geometry

Computed properties:
Symmetry ... P4/mmm (123)
Calculated formation energy ... 0.598 eV per atom

```
CsSr2LaRu
1.0
6.862 0.000 0.000
0.000 6.862 0.000
0.000 0.000 4.728
Cs Sr La Ru
1 2 1 1
direct
0.000 0.000 0.000
0.000 0.500 0.500
0.500 0.000 0.500
0.500 0.500 0.500
0.500 0.500 0.000
```

LaCr2GeTe | SCAN | PBEsol geometry

Computed properties:
Total DFT energy (no corrections) ... -25.851 eV per atom
Symmetry ... P4/mmm (123)

```
LaCr2GeTe
1.0
4.924 0.000 0.000
0.000 4.924 0.000
0.000 0.000 5.896
La Cr Ge Te
1 2 1 1
direct
0.000 0.000 0.000
0.000 0.500 0.000
0.500 0.000 0.000
0.500 0.500 0.500
0.000 0.000 0.500
```

SiMoRu2 | SCAN | PBEsol geometry

Computed properties:
Total DFT energy (no corrections) ... -28.618 eV per atom
Symmetry ... Cmmm (65)

```
SiMoRu2
1.0
1.481 -2.276 0.000
1.481 2.276 0.000
0.000 0.000 8.136
Si Mo Ru
1 1 2
direct
0.000 0.000 0.000
0.000 0.000 0.500
0.500 0.500 0.228
0.500 0.500 0.772
```

MgZnAu3 | SCAN | PBEsol geometry

Computed properties:
Symmetry ... Pm-3m (221)
Calculated formation energy ... 0.136 eV per atom

```
MgZnAu3
1.0
4.733 0.000 0.000
0.000 4.733 0.000
0.000 0.000 4.733
Mg Zn Au
1 1 3
direct
0.000 0.000 0.000
0.500 0.500 0.500
0.000 0.500 0.500
0.500 0.000 0.500
0.500 0.500 0.000
```

La2ZnCo | SCAN | PBEsol geometry

Computed properties:
Symmetry ... R3m (160)
Calculated formation energy ... -0.091 eV per atom

```
La2ZnCo
1.0
2.104 1.215 6.396
-2.104 1.215 6.396
0.000 -2.429 6.396
La Zn Co
2 1 1
direct
0.000 0.000 0.000
0.184 0.184 0.184
0.425 0.425 0.425
0.762 0.762 0.762
```

La3HfAs | SCAN | PBEsol geometry

Computed properties:
Symmetry ... Pm-3m (221)
Calculated formation energy ... 0.259 eV per atom

```
La3HfAs
1.0
5.470 0.000 0.000
0.000 5.470 0.000
0.000 0.000 5.470
La Hf As
3 1 1
direct
0.000 0.000 0.500
0.000 0.500 0.000
0.500 0.000 0.000
0.000 0.000 0.000
0.500 0.500 0.500
```

K2BaCo | SCAN | PBEsol geometry

Computed properties:
Distance to the lowest polymorph of the same formula ... 0 meV/atom
Symmetry ... P2/m (10)
Calculated formation energy ... 0.589 eV per atom

```
K2BaCo
1.0
4.927 0.000 0.000
0.000 6.588 0.000
-0.520 0.000 4.946
K Ba Co
2 1 1
direct
0.214 0.000 0.285
0.786 0.000 0.715
0.500 0.500 0.000
0.000 0.500 0.500
```

KFe2Se2 | SCAN | PBEsol geometry

Computed properties:
Total DFT energy (no corrections) ... -17.316 eV per atom
Symmetry ... I4/mmm (139)

```
KFe2Se2
1.0
-1.886 1.886 6.516
1.886 -1.886 6.516
1.886 1.886 -6.516
K Fe Se
1 2 2
direct
0.000 0.000 0.000
0.250 0.750 0.500
0.750 0.250 0.500
0.349 0.349 0.000
0.651 0.651 0.000
```

BeAs2Rh | SCAN | PBEsol geometry

Computed properties:
Symmetry ... P4mm (99)
Calculated formation energy ... -0.227 eV per atom

```
BeAs2Rh
1.0
2.917 0.000 0.000
0.000 2.917 0.000
0.000 0.000 7.070
Be As Rh
1 2 1
direct
0.000 0.000 0.000
0.000 0.000 0.394
0.500 0.500 0.795
0.500 0.500 0.170
```

SrH2S | SCAN | PBEsol geometry

Computed properties:
Total DFT energy (no corrections) ... -10.048 eV per atom
Symmetry ... Fm-3m (225)

```
SrH2S
1.0
0.000 2.952 2.952
2.952 0.000 2.952
2.952 2.952 0.000
Sr H S
1 2 1
direct
0.000 0.000 0.000
0.250 0.250 0.250
0.750 0.750 0.750
0.500 0.500 0.500
```

Sr2BeAg | SCAN | PBEsol geometry

Computed properties:
Symmetry ... I-4m2 (119)
Calculated formation energy ... 0.348 eV per atom

```
Sr2BeAg
1.0
-2.275 2.275 5.176
2.275 -2.275 5.176
2.275 2.275 -5.176
Sr Be Ag
2 1 1
direct
0.000 0.000 0.000
0.750 0.250 0.500
0.250 0.750 0.500
0.500 0.500 0.000
```

Sc3BeW | SCAN | PBEsol geometry

Computed properties:
Symmetry ... Pm-3m (221)
Calculated formation energy ... 0.963 eV per atom

```
Sc3BeW
1.0
4.978 0.000 0.000
0.000 4.978 0.000
0.000 0.000 4.978
Sc Be W
3 1 1
direct
0.000 0.000 0.500
0.000 0.500 0.000
0.500 0.000 0.000
0.500 0.500 0.500
0.000 0.000 0.000
```

MgTl2Cd | SCAN | PBEsol geometry

Computed properties:
Distance to the lowest polymorph of the same formula ... 10 meV/atom
Symmetry ... Cm (8)
Calculated formation energy ... -0.018 eV per atom

```
MgTl2Cd
1.0
5.716 -1.686 0.000
5.716 1.686 0.000
-1.778 0.000 5.100
Mg Tl Cd
1 2 1
direct
0.000 0.000 0.000
0.250 0.250 0.842
0.478 0.478 0.490
0.722 0.722 0.324
```

Si4TeCl | SCAN | PBEsol geometry

Computed properties:
Total DFT energy (no corrections) ... -13.526 eV per atom
Symmetry ... F-43m (216)

```
Si4TeCl
1.0
0.000 3.767 3.767
3.767 0.000 3.767
3.767 3.767 0.000
Si Te Cl
4 1 1
direct
0.377 0.377 0.377
0.377 0.377 0.870
0.377 0.870 0.377
0.870 0.377 0.377
0.000 0.000 0.000
0.750 0.750 0.750
```

MgS | SCAN | PBEsol geometry

Computed properties:
Total DFT energy (no corrections) ... -8.976 eV per atom
Symmetry ... Fm-3m (225)

```
MgS
1.0
0.000 2.591 2.591
2.591 0.000 2.591
2.591 2.591 0.000
Mg S
1 1
direct
0.000 0.000 0.000
0.500 0.500 0.500
```

MnZnHg2 | SCAN | PBEsol geometry

Computed properties:
Distance to the lowest polymorph of the same formula ... 14 meV/atom
Symmetry ... Imm2 (44)
Calculated formation energy ... 0.050 eV per atom

```
MnZnHg2
1.0
-1.468 2.292 5.437
1.468 -2.292 5.437
1.468 2.292 -5.437
Mn Zn Hg
1 1 2
direct
0.000 0.000 0.000
0.197 0.697 0.500
0.501 0.501 0.000
0.781 0.281 0.500
```

YMgHgSb2 | SCAN | PBEsol geometry

Computed properties:
Total DFT energy (no corrections) ... -34.853 eV per atom
Symmetry ... P4/mmm (123)

```
YMgHgSb2
1.0
5.699 0.000 0.000
0.000 5.699 0.000
0.000 0.000 5.637
Y Mg Hg Sb
1 1 1 2
direct
0.000 0.000 0.000
0.500 0.500 0.500
0.000 0.000 0.500
0.000 0.500 0.000
0.500 0.000 0.000
```

MnAg2Ir | SCAN | PBEsol geometry

Computed properties:
Distance to the lowest polymorph of the same formula ... 164 meV/atom
Symmetry ... Cmmm (65)
Calculated formation energy ... 0.186 eV per atom

```
MnAg2Ir
1.0
2.691 -4.002 0.000
2.691 4.002 0.000
0.000 0.000 2.821
Mn Ag Ir
1 2 1
direct
0.000 0.000 0.000
0.000 0.500 0.500
0.500 0.000 0.500
0.500 0.500 0.000
```

Li2HgAu | SCAN | PBEsol geometry

Computed properties:
Distance to the lowest polymorph of the same formula ... 54 meV/atom
Symmetry ... F-43m (216)
Calculated formation energy ... -0.489 eV per atom

```
Li2HgAu
1.0
0.000 3.224 3.224
3.224 0.000 3.224
3.224 3.224 0.000
Li Hg Au
2 1 1
direct
0.000 0.000 0.000
0.250 0.250 0.250
0.750 0.750 0.750
0.500 0.500 0.500
```

One value per record, in order, for magnetic moment: 0.008 0.000 8.388 0.000 0.000 0.006 0.000 1.588 0.000 0.000 0.000 0.000 0.000 0.000 0.000 0.000 3.756 0.000 4.976 0.000 μB per formula unit.